Entry 1:
Here is crystalline LaSnAu at its relaxed geometry from the Alexandria database. Energies are from PBE.

Cell and atoms, written as POSCAR:
```
LaSnAu
1.0
-2.4105 3.9286 4.1473
2.4105 -3.9286 4.1473
2.4105 3.9286 -4.1473
La Sn Au
2 2 2
Direct
0.0000 0.0000 0.0000
0.5446 0.0446 0.5000
0.1331 0.3621 0.7710
0.5911 0.3621 0.2290
0.3999 0.6933 0.7066
0.9867 0.6933 0.2934
```

For the total magnetization, the calculation gives 0.0 μB/f.u. As for the total energy: -29.39 eV/cell. The formation energy is -0.83 eV/atom.

=====

Entry 2:
Here is crystalline BaNaAlF6 at its relaxed geometry from the Alexandria database. Energies are from PBE.

Cell and atoms, written as POSCAR:
```
BaNaAlF6
1.0
5.5783 0.0000 0.0000
-2.7891 4.8309 0.0000
0.0000 0.0000 5.3480
Ba Na Al F
1 1 1 6
Direct
0.0000 0.0000 0.0000
0.3333 0.6667 0.5000
0.6667 0.3333 0.5000
0.4010 0.0588 0.6978
0.4010 0.3422 0.3022
0.6578 0.0588 0.3022
0.6578 0.5990 0.6978
0.9412 0.3422 0.6978
0.9412 0.5990 0.3022
```

For the total magnetization, the calculation gives 0.0 μB/f.u. As for the total energy: -49.98 eV/cell. The uncorrected formation energy is -3530 meV per atom. Its energy above the most stable polymorph in this dataset is 19.0 meV per atom.

=====

Entry 3:
Here is crystalline LaNi5 at its relaxed geometry from the Alexandria database. Energies are from PBE.

Cell and atoms, written as POSCAR:
```
LaNi5
1.0
3.0526 0.0000 0.0000
0.0000 3.0526 0.0000
0.0000 0.0000 9.0519
La Ni
1 5
Direct
0.0000 0.0000 0.0000
0.0000 0.0000 0.3614
0.0000 0.0000 0.6386
0.5000 0.5000 0.2316
0.5000 0.5000 0.5000
0.5000 0.5000 0.7684
```

For the total magnetization, the calculation gives 2.1 μB/f.u. As for the total energy: -33.24 eV/cell. The formation energy is 0.10 eV/atom.

=====

Entry 4:
Here is crystalline SnHg2Bi at its relaxed geometry from the Alexandria database. Energies are from PBE.

Cell and atoms, written as POSCAR:
```
SnHg2Bi
1.0
3.2576 0.0000 0.0000
-1.3434 4.3074 0.0000
-0.1681 -0.5253 16.8251
Sn Hg Bi
2 4 2
Direct
0.2378 0.2445 0.4381
0.7622 0.7555 0.5619
0.1397 0.2575 0.9399
0.4090 0.7732 0.8228
0.5910 0.2268 0.1772
0.8603 0.7425 0.0601
0.2355 0.7335 0.3108
0.7645 0.2665 0.6892
```

For the total magnetization, the calculation gives 0.0 μB/f.u. As for the total energy: -16.60 eV/cell. The formation energy is 0.05 eV/atom.

=====

Entry 5:
Here is crystalline Li2MgCd2 at its relaxed geometry from the Alexandria database. Energies are from PBE.

Cell and atoms, written as POSCAR:
```
Li2MgCd2
1.0
7.8306 0.0000 0.0000
0.0000 7.8306 0.0000
0.0000 0.0000 3.2537
Li Mg Cd
4 2 4
Direct
0.1610 0.3390 0.0000
0.3390 0.8390 0.0000
0.6610 0.1610 0.0000
0.8390 0.6610 0.0000
0.0000 0.0000 0.5000
0.5000 0.5000 0.5000
0.1365 0.6365 0.5000
0.3635 0.1365 0.5000
0.6365 0.8635 0.5000
0.8635 0.3635 0.5000
```

For the total magnetization, the calculation gives 0.0 μB/f.u. As for the total energy: -16.18 eV/cell. The formation energy is -0.17 eV/atom. Its energy above the most stable polymorph in this dataset is 39.1 meV per atom.

=====

Entry 6:
Here is crystalline Er4RhPb2 at its relaxed geometry from the Alexandria database. Energies are from PBE.

Cell and atoms, written as POSCAR:
```
Er4RhPb2
1.0
7.0303 0.0000 0.0000
0.0000 6.6030 0.0000
-2.1561 0.0000 8.2088
Er Rh Pb
8 2 4
Direct
0.1381 0.0067 0.2997
0.1381 0.4933 0.2997
0.3048 0.2500 0.9286
0.3169 0.7500 0.6693
0.6831 0.2500 0.3307
0.6952 0.7500 0.0714
0.8619 0.5067 0.7003
0.8619 0.9933 0.7003
0.0664 0.2500 0.5659
0.9336 0.7500 0.4341
0.1912 0.7500 0.9880
0.4671 0.2500 0.6147
0.5329 0.7500 0.3853
0.8088 0.2500 0.0120
```

For the total magnetization, the calculation gives 0.0 μB/f.u. As for the total energy: -72.74 eV/cell. The formation energy is -0.48 eV/atom.

=====

Entry 7:
Here is crystalline Ce2CuGe3 at its relaxed geometry from the Alexandria database. Energies are from PBE.

Cell and atoms, written as POSCAR:
```
Ce2CuGe3
1.0
0.0000 4.2046 7.2635
4.1932 0.0000 7.2635
4.1932 4.2046 0.0000
Ce Cu Ge
4 2 6
Direct
0.2430 0.7570 0.7570
0.2500 0.2500 0.2500
0.7500 0.7500 0.7500
0.7570 0.2430 0.2430
0.3333 0.3333 0.6667
0.6667 0.6667 0.3333
0.1710 0.1710 0.8290
0.1741 0.6549 0.3451
0.3451 0.8259 0.1741
0.6549 0.1741 0.8259
0.8259 0.3451 0.6549
0.8290 0.8290 0.1710
```

For the total magnetization, the calculation gives 1.7 μB/f.u. As for the total energy: -67.11 eV/cell. The formation energy is -0.62 eV/atom. Its energy above the most stable polymorph in this dataset is 0.0 meV per atom.

=====

Entry 8:
Here is crystalline RbSmMg2Cl8 at its relaxed geometry from the Alexandria database. Energies are from PBE.

Cell and atoms, written as POSCAR:
```
RbSmMg2Cl8
1.0
6.5831 0.0000 0.0000
1.5764 6.4622 0.0000
1.9970 1.7825 8.8226
Rb Sm Mg Cl
1 1 2 8
Direct
0.0000 0.0000 0.0000
0.0000 0.0000 0.5000
0.4616 0.4516 0.2075
0.5384 0.5484 0.7925
0.1862 0.7229 0.7291
0.2374 0.7739 0.2891
0.2938 0.2412 0.4434
0.3676 0.3095 0.0200
0.6324 0.6905 0.9800
0.7062 0.7588 0.5566
0.7626 0.2261 0.7109
0.8138 0.2771 0.2709
```

For the total magnetization, the calculation gives 0.0 μB/f.u. As for the total energy: -47.27 eV/cell. The uncorrected formation energy is -1969 meV per atom.

=====

Entry 9:
Here is crystalline LaPr4Co at its relaxed geometry from the Alexandria database. Energies are from PBE.

Cell and atoms, written as POSCAR:
```
LaPr4Co
1.0
9.1315 -3.7449 0.0000
9.1315 3.7449 0.0000
-2.0440 0.0000 5.7616
La Pr Co
2 8 2
Direct
0.1977 0.1977 0.2001
0.8023 0.8023 0.7999
0.1326 0.6335 0.3819
0.2385 0.7615 0.0000
0.3274 0.3274 0.8282
0.3665 0.8674 0.6181
0.6335 0.1326 0.3819
0.6726 0.6726 0.1718
0.7615 0.2385 0.0000
0.8674 0.3665 0.6181
0.4990 0.4990 0.3171
0.5010 0.5010 0.6829
```

For the total magnetization, the calculation gives 0.0 μB/f.u. As for the total energy: -61.92 eV/cell. The formation energy is 0.03 eV/atom. Its energy above the most stable polymorph in this dataset is 0.0 meV per atom.

=====

Entry 10:
Here is crystalline NaLa2Sb4Pd3 at its relaxed geometry from the Alexandria database. Energies are from PBE.

Cell and atoms, written as POSCAR:
```
NaLa2Sb4Pd3
1.0
4.6309 0.0000 0.0000
0.0000 4.6309 0.0000
0.0000 0.0000 11.3568
Na La Sb Pd
1 2 4 3
Direct
0.0000 0.0000 0.0000
0.0000 0.5000 0.7461
0.5000 0.0000 0.2539
0.0000 0.0000 0.5000
0.0000 0.5000 0.1448
0.5000 0.0000 0.8552
0.5000 0.5000 0.5000
0.0000 0.5000 0.3765
0.5000 0.0000 0.6235
0.5000 0.5000 0.0000
```

For the total magnetization, the calculation gives 0.0 μB/f.u. As for the total energy: -50.99 eV/cell. The uncorrected formation energy is -775 meV per atom.

=====

Entry 11:
Here is crystalline Ho8HC4S3 at its relaxed geometry from the Alexandria database. Energies are from PBE.

Cell and atoms, written as POSCAR:
```
Ho8HC4S3
1.0
3.6618 2.1142 6.2890
-3.6618 2.1142 6.2890
0.0000 -4.2283 6.2890
Ho H C S
8 1 4 3
Direct
0.2374 0.7360 0.7360
0.2375 0.2375 0.2375
0.2640 0.2640 0.7626
0.2640 0.7626 0.2640
0.7360 0.2374 0.7360
0.7360 0.7360 0.2374
0.7625 0.7625 0.7625
0.7626 0.2640 0.2640
0.0000 0.0000 0.0000
0.0000 0.0000 0.5000
0.0000 0.5000 0.0000
0.5000 0.0000 0.0000
0.5000 0.5000 0.5000
0.0000 0.5000 0.5000
0.5000 0.0000 0.5000
0.5000 0.5000 0.0000
```

For the total magnetization, the calculation gives 0.0 μB/f.u. As for the total energy: -106.83 eV/cell.

=====

Entry 12:
Here is crystalline CrIr6Pt at its relaxed geometry from the Alexandria database. Energies are from PBE.

Cell and atoms, written as POSCAR:
```
CrIr6Pt
1.0
3.8515 0.0000 0.0000
0.0000 3.8515 0.0000
0.0000 0.0000 7.7377
Cr Ir Pt
1 6 1
Direct
0.0000 0.0000 0.0000
0.0000 0.5000 0.2406
0.0000 0.5000 0.7594
0.5000 0.0000 0.2406
0.5000 0.0000 0.7594
0.5000 0.5000 0.0000
0.5000 0.5000 0.5000
0.0000 0.0000 0.5000
```

For the total magnetization, the calculation gives 0.7 μB/f.u. As for the total energy: -69.55 eV/cell. The formation energy is -0.09 eV/atom.

=====

Entry 13:
Here is crystalline CrTe2 at its relaxed geometry from the Alexandria database. Energies are from PBE.

Cell and atoms, written as POSCAR:
```
CrTe2
1.0
4.6174 0.0000 0.0000
0.0000 4.6174 0.0000
0.0000 0.0000 3.8185
Cr Te
1 2
Direct
0.0000 0.0000 0.0000
0.0000 0.5000 0.5000
0.5000 0.0000 0.5000
```

For the total magnetization, the calculation gives 3.9 μB/f.u. As for the total energy: -15.29 eV/cell. The uncorrected formation energy is 207 meV per atom.

=====

Entry 14:
Here is crystalline AcEr2IO8 at its relaxed geometry from the Alexandria database. Energies are from PBE.

Cell and atoms, written as POSCAR:
```
AcEr2IO8
1.0
5.0580 0.0000 0.0000
0.0000 7.1040 0.0000
-0.1311 0.0000 5.0618
Ac Er I O
1 2 1 8
Direct
0.0000 0.0000 0.0000
0.5000 0.2495 0.5000
0.5000 0.7505 0.5000
0.0000 0.5000 0.0000
0.1871 0.3059 0.1879
0.1871 0.6941 0.1879
0.2646 0.5000 0.7366
0.3265 0.0000 0.6759
0.6735 0.0000 0.3241
0.7355 0.5000 0.2634
0.8129 0.3059 0.8121
0.8129 0.6941 0.8121
```

For the total magnetization, the calculation gives 0.0 μB/f.u. As for the total energy: -82.12 eV/cell. The uncorrected formation energy is -2306 meV per atom.

=====

Entry 15:
Here is crystalline ZrTeAu at its relaxed geometry from the Alexandria database. Energies are from PBE.

Cell and atoms, written as POSCAR:
```
ZrTeAu
1.0
5.8367 -2.0431 0.0000
5.8367 2.0431 0.0000
-1.9618 0.0000 6.0298
Zr Te Au
2 2 2
Direct
0.0000 0.0000 0.0000
0.6728 0.6728 0.4997
0.3631 0.3631 0.6682
0.7012 0.7012 0.0546
0.0311 0.0311 0.5599
0.4193 0.4193 0.2336
```

For the total magnetization, the calculation gives 0.0 μB/f.u. As for the total energy: -32.84 eV/cell. The uncorrected formation energy is -485 meV per atom. Its energy above the most stable polymorph in this dataset is 63.6 meV per atom.

=====

Entry 16:
Here is crystalline LiCa2Ni at its relaxed geometry from the Alexandria database. Energies are from PBE.

Cell and atoms, written as POSCAR:
```
LiCa2Ni
1.0
1.9404 1.1203 8.9429
-1.9404 1.1203 8.9429
0.0000 -2.2406 8.9429
Li Ca Ni
1 2 1
Direct
0.0000 0.0000 0.0000
0.2275 0.2275 0.2275
0.7725 0.7725 0.7725
0.5000 0.5000 0.5000
```

For the total magnetization, the calculation gives 0.0 μB/f.u. As for the total energy: -11.36 eV/cell. The formation energy is 0.09 eV/atom.

=====

Entry 17:
Here is crystalline YAlSe2 at its relaxed geometry from the Alexandria database. Energies are from PBE.

Cell and atoms, written as POSCAR:
```
YAlSe2
1.0
-1.8859 1.9566 6.1641
1.8859 -1.9566 6.1641
1.8859 1.9566 -6.1641
Y Al Se
1 1 2
Direct
0.0000 0.0000 0.0000
0.2062 0.7062 0.5000
0.4064 0.4064 0.0000
0.6764 0.1764 0.5000
```

For the total magnetization, the calculation gives 0.0 μB/f.u. As for the total energy: -21.19 eV/cell. The uncorrected formation energy is -1005 meV per atom.

=====

Entry 18:
Here is crystalline NaTe2H2 at its relaxed geometry from the Alexandria database. Energies are from PBE.

Cell and atoms, written as POSCAR:
```
NaTe2H2
1.0
-1.7872 1.7872 7.4161
1.7872 -1.7872 7.4161
1.7872 1.7872 -7.4161
Na Te H
1 2 2
Direct
0.0000 0.0000 0.0000
0.3471 0.3471 0.0000
0.6529 0.6529 0.0000
0.2500 0.7500 0.5000
0.7500 0.2500 0.5000
```

For the total magnetization, the calculation gives 0.0 μB/f.u. As for the total energy: -12.87 eV/cell. Its energy above the most stable polymorph in this dataset is 353.0 meV per atom.

=====

Entry 19:
Here is crystalline Pm2NdSm5Tm at its relaxed geometry from the Alexandria database. Energies are from PBE.

Cell and atoms, written as POSCAR:
```
Pm2NdSm5Tm
1.0
-4.4146 4.4146 7.8723
4.4146 -4.4146 7.8723
4.4146 4.4146 -7.8723
Pm Nd Sm Tm
4 2 10 2
Direct
0.1169 0.6169 0.7338
0.3831 0.1169 0.5000
0.6169 0.8831 0.5000
0.8831 0.3831 0.2662
0.2500 0.2500 0.0000
0.7500 0.7500 0.0000
0.0000 0.0000 0.0000
0.0716 0.1519 0.5000
0.1519 0.6519 0.0803
0.3481 0.4284 0.5000
0.4284 0.9284 0.0803
0.5000 0.5000 0.0000
0.5716 0.0716 0.9197
0.6519 0.5716 0.5000
0.8481 0.3481 0.9197
0.9284 0.8481 0.5000
0.2500 0.7500 0.5000
0.7500 0.2500 0.5000
```

For the total magnetization, the calculation gives 0.0 μB/f.u. As for the total energy: -79.68 eV/cell. The formation energy is 0.28 eV/atom.

=====

Entry 20:
Here is crystalline PmZn3Ni2 at its relaxed geometry from the Alexandria database. Energies are from PBE.

Cell and atoms, written as POSCAR:
```
PmZn3Ni2
1.0
8.9691 0.0000 0.0000
-4.4845 7.7675 0.0000
0.0000 0.0000 4.1583
Pm Zn Ni
3 9 6
Direct
0.0000 0.0000 0.0000
0.3333 0.6667 0.5000
0.6667 0.3333 0.5000
0.0000 0.2943 0.5000
0.0000 0.5000 0.0000
0.0000 0.7057 0.5000
0.2943 0.0000 0.5000
0.2943 0.2943 0.5000
0.5000 0.0000 0.0000
0.5000 0.5000 0.0000
0.7057 0.0000 0.5000
0.7057 0.7057 0.5000
0.1825 0.3650 0.0000
0.1825 0.8175 0.0000
0.3650 0.1825 0.0000
0.6350 0.8175 0.0000
0.8175 0.1825 0.0000
0.8175 0.6350 0.0000
```

For the total magnetization, the calculation gives 0.0 μB/f.u. As for the total energy: -67.19 eV/cell. The formation energy is -0.38 eV/atom. Its energy above the most stable polymorph in this dataset is 0.0 meV per atom.

=====

Entry 21:
Here is crystalline GaGeH at its relaxed geometry from the Alexandria database. Energies are from PBE.

Cell and atoms, written as POSCAR:
```
GaGeH
1.0
5.2333 -2.1498 0.0000
5.2333 2.1498 0.0000
-5.2292 0.0000 5.4532
Ga Ge H
2 2 2
Direct
0.0000 0.0000 0.0000
0.0652 0.0652 0.5054
0.3941 0.3941 0.7818
0.4444 0.4444 0.5040
0.2376 0.2376 0.2261
0.9843 0.9843 0.2105
```

For the total magnetization, the calculation gives 0.0 μB/f.u. As for the total energy: -21.17 eV/cell. Its energy above the most stable polymorph in this dataset is 10.9 meV per atom.

=====

Entry 22:
Here is crystalline ZnTeMo2I at its relaxed geometry from the Alexandria database. Energies are from PBE.

Cell and atoms, written as POSCAR:
```
ZnTeMo2I
1.0
5.2174 0.0000 0.0000
0.0000 5.2174 0.0000
0.0000 0.0000 6.5213
Zn Te Mo I
1 1 2 1
Direct
0.0000 0.0000 0.0000
0.5000 0.5000 0.5000
0.0000 0.5000 0.5000
0.5000 0.0000 0.5000
0.5000 0.5000 0.0000
```

For the total magnetization, the calculation gives 6.7 μB/f.u. As for the total energy: -19.29 eV/cell. The uncorrected formation energy is 1668 meV per atom.

=====

Entry 23:
Here is crystalline Tb3PbSO at its relaxed geometry from the Alexandria database. Energies are from PBE.

Cell and atoms, written as POSCAR:
```
Tb3PbSO
1.0
8.7164 0.0000 0.0000
0.0000 3.9453 0.0000
-2.2048 0.0000 8.7237
Tb Pb S O
6 2 2 2
Direct
0.0638 0.2500 0.3459
0.3315 0.2500 0.9764
0.3874 0.7500 0.6435
0.6126 0.2500 0.3565
0.6685 0.7500 0.0236
0.9362 0.7500 0.6541
0.3106 0.7500 0.2687
0.6894 0.2500 0.7313
0.1612 0.2500 0.6600
0.8388 0.7500 0.3400
0.4117 0.7500 0.9016
0.5883 0.2500 0.0984
```

For the total magnetization, the calculation gives 0.0 μB/f.u. As for the total energy: -74.99 eV/cell. The uncorrected formation energy is -1802 meV per atom.